# Hf2TiNiN

A relaxed Hf2TiNiN crystal (PBE-GGA, the Alexandria database).

Cell lengths 3.420, 3.420, 12.433 Å; angles 90.00, 90.00, 90.00 degrees
Positions (direct):
Hf  0.000  0.500  0.736
Hf  0.000  0.500  0.087
Hf  0.500  0.000  0.913
Hf  0.500  0.000  0.264
Ti  0.000  0.000  0.500
Ti  0.500  0.500  0.500
Ni  0.500  0.000  0.669
Ni  0.000  0.500  0.331
N  0.500  0.000  0.088
N  0.000  0.500  0.912

Results
The calculation puts the final energy at -91.6 eV for the cell shown. The energy above the lowest structure with this stoichiometry comes out at 39 meV per atom. The uncorrected formation energy is -775 meV per atom.